Material: BeAgPb2
Method: DFT, PBE-GGA
State: optimized geometry

Summary:
* ΔE_f: 248 meV/atom
* D(E_F): 1.32 states/eV/cell
* volume: 22.693 Å³/atom
* space group: P4mm (99)
* spin magnetization: 0.000 μB/atom

Cell: 3.2945 3.2889 8.3776 Å, 90.00 90.00 90.00°
Closest atoms and distances in Å follow each position.
Positions (direct):
Pb (0.0000, 0.0000, 0.9330)  1 Ag 3.02, 4 Be 3.11, 4 Pb 3.29
Pb (0.5000, 0.5000, 0.3089)  1 Be 3.16, 4 Ag 3.21, 4 Pb 3.29
Be (0.5000, 0.5000, 0.6860)  4 Ag 2.52
Ag (0.0000, 0.0000, 0.5722)  4 Be 2.52